## ErTm2Th4 (GGA-PBE)

Data for a geometry-optimized ErTm2Th4 structure.

Lattice parameters (Å, degrees): 6.803 6.803 11.682 90.00 90.00 121.44
Sites, in units of the cell vectors:
Er: 0.140 0.860 0.750
Er: 0.860 0.140 0.250
Tm: 0.148 0.852 0.250
Tm: 0.492 0.508 0.250
Tm: 0.508 0.492 0.750
Tm: 0.852 0.148 0.750
Th: 0.230 0.230 0.000
Th: 0.230 0.230 0.500
Th: 0.274 0.726 0.504
Th: 0.274 0.726 0.996
Th: 0.726 0.274 0.004
Th: 0.726 0.274 0.496
Th: 0.770 0.770 0.000
Th: 0.770 0.770 0.500

Results
As for the crystal system: orthorhombic. As for the space-group type: Cmcm (63). As for the total magnetization: 0.001 Bohr magnetons per cell. The calculation puts the formation energy at 1.730 eV/f.u. The value obtained for the energy above the lowest structure with this stoichiometry is 0 meV per atom.